First-principles (PBE) data for a relaxed structure of Dy2Pt3Au2, as listed in the Alexandria database.

a = 12.106 Å, b = 3.902 Å, c = 6.483 Å
α = 90.00°, β = 107.53°, γ = 90.00°
Space group C2/m (No. 12)
Asymmetric unit:
Dy  0.192  0.000  0.231 x4
Pt  0.000  0.500  0.000 x2
Pt  0.094  0.500  0.434 x4
Au  0.092  0.000  0.754 x4

## Properties
excess energy over the best structure of this formula in the dataset = 53.9 meV/atom
D(E_F) = 1.83 states/eV/f.u.
energy = -5.610 eV/atom


First-principles (PBE) data for a relaxed structure of DyPt2Au, as listed in the Alexandria database.

a = 6.704 Å, b = 6.704 Å, c = 6.704 Å
α = 90.00°, β = 90.00°, γ = 90.00°
Space group Fm-3m (No. 225)
Asymmetric unit:
Dy  0.000  0.000  0.000 x4
Pt  0.250  0.250  0.250 x8
Au  0.000  0.000  0.500 x4

## Properties
D(E_F) = 2.65 states/eV/f.u.
energy = -5.728 eV/atom


First-principles (PBE) data for a relaxed structure of Dy2Pt4Au, as listed in the Alexandria database.

a = 5.572 Å, b = 9.032 Å, c = 11.210 Å
α = 90.00°, β = 90.00°, γ = 90.00°
Space group Fmmm (No. 69)
Asymmetric unit:
Dy  0.000  0.000  0.145 x8
Pt  0.250  0.250  0.000 x8
Pt  0.250  0.250  0.250 x8
Au  0.000  0.000  0.500 x4

## Properties
excess energy over the best structure of this formula in the dataset = 121.8 meV/atom
D(E_F) = 4.59 states/eV/f.u.
energy = -5.999 eV/atom


First-principles (PBE) data for a relaxed structure of Dy2Pt2Au, as listed in the Alexandria database.

a = 7.600 Å, b = 7.600 Å, c = 3.721 Å
α = 90.00°, β = 90.00°, γ = 90.00°
Space group P4/mbm (No. 127)
Asymmetric unit:
Dy  0.170  0.330  0.000 x4
Pt  0.132  0.632  0.500 x4
Au  0.000  0.000  0.500 x2

## Properties
D(E_F) = 2.63 states/eV/f.u.
energy = -6.029 eV/atom


First-principles (PBE) data for a relaxed structure of Dy3Pt2Au3, as listed in the Alexandria database.

a = 7.4284 Å, b = 7.4284 Å, c = 3.6249 Å
α = 90.00°, β = 90.00°, γ = 120.00°
Space group P-62m (No. 189)
Asymmetric unit:
Dy  0.0000  0.3986  0.0000 x3
Pt  0.3333  0.6667  0.5000 x2
Au  0.0000  0.7690  0.5000 x3

## Properties
D(E_F) = 6.37 states/eV/f.u.
energy = -5.485 eV/atom


First-principles (PBE) data for a relaxed structure of DyPtAu, as listed in the Alexandria database.

a = 6.564 Å, b = 6.564 Å, c = 6.564 Å
α = 90.00°, β = 90.00°, γ = 90.00°
Space group F-43m (No. 216)
Asymmetric unit:
Dy  0.000  0.000  0.000 x4
Pt  0.250  0.250  0.750 x4
Au  0.000  0.000  0.500 x4

## Properties
excess energy over the best structure of this formula in the dataset = 121.3 meV/atom
D(E_F) = 1.26 states/eV/f.u.
energy = -5.489 eV/atom


First-principles (PBE) data for a relaxed structure of DyPtAu, as listed in the Alexandria database.

a = 5.122 Å, b = 8.374 Å, c = 5.727 Å
α = 90.00°, β = 90.00°, γ = 90.00°
Space group Cmcm (No. 63)
Asymmetric unit:
Dy  0.000  0.158  0.250 x4
Pt  0.000  0.186  0.750 x4
Au  0.000  0.500  0.000 x4

## Properties
excess energy over the best structure of this formula in the dataset = 0.0 meV/atom
D(E_F) = 1.06 states/eV/f.u.
energy = -5.610 eV/atom


First-principles (PBE) data for a relaxed structure of Dy2Pt9Au, as listed in the Alexandria database.

a = 4.087 Å, b = 4.087 Å, c = 12.287 Å
α = 90.00°, β = 90.00°, γ = 90.00°
Space group P4/mmm (No. 123)
Asymmetric unit:
Dy  0.000  0.000  0.169 x2
Pt  0.000  0.500  0.000 x2
Pt  0.000  0.500  0.337 x4
Pt  0.500  0.500  0.169 x2
Pt  0.500  0.500  0.500 x1
Au  0.000  0.000  0.500 x1

## Properties
D(E_F) = 16.00 states/eV/f.u.
energy = -6.222 eV/atom


First-principles (PBE) data for a relaxed structure of Dy5PtAu4, as listed in the Alexandria database.

a = 3.558 Å, b = 3.558 Å, c = 18.115 Å
α = 90.00°, β = 90.00°, γ = 90.00°
Space group P4/mmm (No. 123)
Asymmetric unit:
Dy  0.000  0.000  0.000 x1
Dy  0.000  0.000  0.203 x2
Dy  0.000  0.000  0.406 x2
Pt  0.500  0.500  0.500 x1
Au  0.500  0.500  0.101 x2
Au  0.500  0.500  0.302 x2

## Properties
D(E_F) = 4.45 states/eV/f.u.
energy = -5.152 eV/atom


First-principles (PBE) data for a relaxed structure of DyPtAu, as listed in the Alexandria database.

a = 9.773 Å, b = 3.675 Å, c = 7.427 Å
α = 90.00°, β = 113.07°, γ = 90.00°
Space group C2/m (No. 12)
Asymmetric unit:
Dy  0.007  0.000  0.268 x4
Pt  0.163  0.500  0.586 x4
Au  0.165  0.500  0.083 x4

## Properties
excess energy over the best structure of this formula in the dataset = 27.8 meV/atom
D(E_F) = 1.36 states/eV/f.u.
energy = -5.582 eV/atom


First-principles (PBE) data for a relaxed structure of DyPtAu, as listed in the Alexandria database.

a = 4.6375 Å, b = 4.6375 Å, c = 3.4154 Å
α = 90.00°, β = 90.00°, γ = 120.00°
Space group P-6m2 (No. 187)
Asymmetric unit:
Dy  0.0000  0.0000  0.0000 x1
Pt  0.6667  0.3333  0.5000 x1
Au  0.3333  0.6667  0.5000 x1

## Properties
excess energy over the best structure of this formula in the dataset = 135.7 meV/atom
D(E_F) = 2.11 states/eV/f.u.
energy = -5.475 eV/atom


First-principles (PBE) data for a relaxed structure of Dy5Pt2Au2, as listed in the Alexandria database.

a = 15.221 Å, b = 7.454 Å, c = 7.746 Å
α = 90.00°, β = 90.00°, γ = 90.00°
Space group Cmce (No. 64)
Asymmetric unit:
Dy  0.000  0.000  0.000 x4
Dy  0.133  0.170  0.329 x16
Pt  0.000  0.131  0.633 x8
Au  0.206  0.000  0.000 x8

## Properties
D(E_F) = 7.00 states/eV/f.u.
energy = -5.606 eV/atom


First-principles (PBE) data for a relaxed structure of Dy2PtAu6, as listed in the Alexandria database.

a = 13.549 Å, b = 3.995 Å, c = 7.143 Å
α = 90.00°, β = 113.34°, γ = 90.00°
Space group C2/m (No. 12)
Asymmetric unit:
Dy  0.060  0.000  0.314 x4
Pt  0.000  0.500  0.000 x2
Au  0.105  0.500  0.669 x4
Au  0.167  0.000  0.003 x4
Au  0.228  0.500  0.327 x4

## Properties
D(E_F) = 2.74 states/eV/f.u.
energy = -4.500 eV/atom


First-principles (PBE) data for a relaxed structure of Dy4PtAu2, as listed in the Alexandria database.

a = 4.9854 Å, b = 4.9854 Å, c = 24.8302 Å
α = 90.00°, β = 90.00°, γ = 120.00°
Space group R-3m (No. 166, hexagonal axes)
Asymmetric unit:
Dy  0.0000  0.0000  0.1223 x6
Dy  0.0000  0.0000  0.3724 x6
Pt  0.0000  0.0000  0.0000 x3
Au  0.0000  0.0000  0.2419 x6

## Properties
D(E_F) = 4.30 states/eV/f.u.
energy = -5.241 eV/atom


First-principles (PBE) data for a relaxed structure of Dy4Pt3Au, as listed in the Alexandria database.

a = 3.755 Å, b = 4.554 Å, c = 10.616 Å
α = 90.00°, β = 90.00°, γ = 90.00°
Space group Pmm2 (No. 25)
Asymmetric unit:
Dy  0.000  0.000  0.000 x1
Dy  0.000  0.500  0.268 x1
Dy  0.500  0.000  0.486 x1
Dy  0.500  0.500  0.770 x1
Pt  0.000  0.500  0.543 x1
Pt  0.500  0.000  0.218 x1
Pt  0.500  0.500  0.041 x1
Au  0.000  0.000  0.718 x1

## Properties
D(E_F) = 5.51 states/eV/f.u.
energy = -6.165 eV/atom


First-principles (PBE) data for a relaxed structure of Dy3Pt8Au, as listed in the Alexandria database.

a = 5.4062 Å, b = 5.4062 Å, c = 26.5037 Å
α = 90.00°, β = 90.00°, γ = 120.00°
Space group R3m (No. 160, hexagonal axes)
Asymmetric unit:
Dy  0.0000  0.0000  0.0000 x3
Dy  0.0000  0.0000  0.1306 x3
Dy  0.0000  0.0000  0.6105 x3
Pt  0.0000  0.0000  0.3101 x3
Pt  0.0000  0.0000  0.8101 x3
Pt  0.0035  0.5018  0.5612 x9
Pt  0.1671  0.3342  0.3921 x9
Au  0.0000  0.0000  0.4924 x3

## Properties
D(E_F) = 7.05 states/eV/f.u.
energy = -6.419 eV/atom


First-principles (PBE) data for a relaxed structure of Dy8PtAu2, as listed in the Alexandria database.

a = 17.619 Å, b = 5.084 Å, c = 6.787 Å
α = 90.00°, β = 102.96°, γ = 90.00°
Space group C2/m (No. 12)
Asymmetric unit:
Dy  0.030  0.000  0.279 x4
Dy  0.089  0.500  0.941 x4
Dy  0.161  0.500  0.471 x4
Dy  0.206  0.000  0.826 x4
Pt  0.000  0.500  0.500 x2
Au  0.190  0.000  0.237 x4

## Properties
D(E_F) = 9.21 states/eV/f.u.
energy = -5.047 eV/atom


First-principles (PBE) data for a relaxed structure of DyPtAu, as listed in the Alexandria database.

a = 3.681 Å, b = 3.681 Å, c = 9.029 Å
α = 90.00°, β = 90.00°, γ = 90.00°
Space group I4mm (No. 107)
Asymmetric unit:
Dy  0.000  0.000  0.000 x2
Pt  0.000  0.000  0.346 x2
Au  0.000  0.000  0.673 x2

## Properties
excess energy over the best structure of this formula in the dataset = 24.1 meV/atom
D(E_F) = 1.22 states/eV/f.u.
energy = -5.586 eV/atom


First-principles (PBE) data for a relaxed structure of Dy6PtAu5, as listed in the Alexandria database.

a = 8.802 Å, b = 15.164 Å, c = 5.035 Å
α = 90.00°, β = 124.82°, γ = 90.00°
Space group C2/m (No. 12)
Asymmetric unit:
Dy  0.242  0.000  0.243 x4
Dy  0.246  0.163  0.746 x8
Pt  0.000  0.000  0.500 x2
Au  0.000  0.174  0.000 x4
Au  0.000  0.335  0.500 x4
Au  0.000  0.500  0.000 x2

## Properties
D(E_F) = 7.66 states/eV/f.u.
energy = -5.091 eV/atom


First-principles (PBE) data for a relaxed structure of Dy8Pt5Au, as listed in the Alexandria database.

a = 8.799 Å, b = 8.799 Å, c = 8.712 Å
α = 90.00°, β = 90.00°, γ = 90.00°
Space group I-4 (No. 82)
Asymmetric unit:
Dy  0.063  0.310  0.067 x8
Dy  0.066  0.180  0.687 x8
Pt  0.000  0.000  0.000 x2
Pt  0.128  0.249  0.377 x8
Au  0.000  0.500  0.750 x2

## Properties
D(E_F) = 7.74 states/eV/f.u.
energy = -6.062 eV/atom


First-principles (PBE) data for a relaxed structure of Dy2Pt4Au, as listed in the Alexandria database.

a = 3.998 Å, b = 3.998 Å, c = 18.253 Å
α = 90.00°, β = 90.00°, γ = 90.00°
Space group I4/mmm (No. 139)
Asymmetric unit:
Dy  0.000  0.000  0.117 x4
Pt  0.000  0.000  0.356 x4
Pt  0.000  0.500  0.250 x4
Au  0.000  0.000  0.500 x2

## Properties
excess energy over the best structure of this formula in the dataset = 0.0 meV/atom
D(E_F) = 1.93 states/eV/f.u.
energy = -6.121 eV/atom


First-principles (PBE) data for a relaxed structure of Dy2Pt3Au2, as listed in the Alexandria database.

a = 9.724 Å, b = 4.181 Å, c = 8.211 Å
α = 90.00°, β = 119.41°, γ = 90.00°
Space group C2/m (No. 12)
Asymmetric unit:
Dy  0.195  0.000  0.281 x4
Pt  0.000  0.500  0.000 x2
Pt  0.026  0.500  0.355 x4
Au  0.161  0.000  0.881 x4

## Properties
excess energy over the best structure of this formula in the dataset = 0.0 meV/atom
D(E_F) = 3.15 states/eV/f.u.
energy = -5.664 eV/atom


First-principles (PBE) data for a relaxed structure of DyPtAu3, as listed in the Alexandria database.

a = 5.196 Å, b = 5.196 Å, c = 18.689 Å
α = 90.00°, β = 90.00°, γ = 90.00°
Space group I-4m2 (No. 119)
Asymmetric unit:
Dy  0.000  0.000  0.174 x4
Pt  0.000  0.000  0.500 x2
Pt  0.000  0.500  0.750 x2
Au  0.000  0.249  0.623 x8
Au  0.000  0.500  0.078 x4

## Properties
D(E_F) = 2.62 states/eV/f.u.
energy = -4.358 eV/atom


First-principles (PBE) data for a relaxed structure of DyPt4Au, as listed in the Alexandria database.

a = 7.572 Å, b = 7.572 Å, c = 7.572 Å
α = 90.00°, β = 90.00°, γ = 90.00°
Space group F-43m (No. 216)
Asymmetric unit:
Dy  0.000  0.000  0.000 x4
Pt  0.125  0.125  0.375 x16
Au  0.250  0.250  0.750 x4

## Properties
D(E_F) = 6.32 states/eV/f.u.
energy = -6.053 eV/atom